This record from Alexandria describes an optimized crystal structure of Pr3Sm2Tm8. The functional is PBE-GGA.

The total magnetization is 0.0 μB per formula unit. Its electronic total energy is -4.319 eV per atom. Its energy above the lowest structure with this stoichiometry is 3.07 eV per formula unit. The crystal system is orthorhombic. Its formation enthalpy at 0 K is 0.262 eV/atom.

The space group is Cmmm (No. 65) and the conventional cell measures 7.686, 20.285 and 5.598 Å, with angles of 90.00, 90.00 and 90.00 degrees. Symmetry generates all atoms from Pr at (0.000, 0.000, 0.000), Pr at (0.206, 0.500, 0.500), Sm at (0.000, 0.241, 0.000), Tm at (0.000, 0.134, 0.500), Tm at (0.000, 0.332, 0.500) and Tm at (0.209, 0.390, 0.000).